1.
DFT (PBE) results for a geometry-optimized Pa3InGa4 structure.

```
Pa3InGa4
1.0
2.4168 1.3953 8.7433
-2.4168 1.3953 8.7433
0.0000 -2.7906 8.7433
Pa In Ga
3 1 4
Cartesian
0.0000 0.0000 0.0000
0.0000 0.0000 6.3308
0.0000 0.0000 19.8992
0.0000 0.0000 13.1150
0.0000 0.0000 3.2403
0.0000 0.0000 9.8195
0.0000 0.0000 16.4105
0.0000 0.0000 22.9896
```

Values from the calculation:
Density of states at the Fermi level = 1.41 states/eV/atom
Calculated total energy = -5.543 eV per atom
Symmetry = No. 166
Calculated formation energy = -127 meV/atom

---

2.
DFT (PBE) results for a geometry-optimized Pa2InGa structure.

```
Pa2InGa
1.0
3.1896 0.0000 0.0000
0.0000 3.1896 0.0000
0.0000 0.0000 9.1352
Pa In Ga
2 1 1
Cartesian
0.0000 0.0000 2.1094
0.0000 0.0000 7.0258
1.5948 1.5948 4.5676
1.5948 1.5948 0.0000
```

Values from the calculation:
Distance to the lowest polymorph of the same formula = 0 meV per atom
Density of states at the Fermi level = 1.72 states/eV/atom
Calculated total energy = -6.327 eV per atom
Symmetry = No. 123
Calculated formation energy = -137 meV/atom

---

3.
DFT (PBE) results for a geometry-optimized PaIn2Ga structure.

```
PaIn2Ga
1.0
4.4337 0.0000 0.0000
0.0000 4.4337 0.0000
0.0000 0.0000 4.7545
Pa In Ga
1 2 1
Cartesian
0.0000 0.0000 0.0000
0.0000 2.2169 2.3772
2.2169 0.0000 2.3772
2.2169 2.2169 0.0000
```

Values from the calculation:
Distance to the lowest polymorph of the same formula = 0 meV per atom
Density of states at the Fermi level = 1.39 states/eV/atom
Calculated total energy = -4.684 eV per atom
Symmetry = No. 123
Calculated formation energy = -184 meV/atom

---

4.
DFT (PBE) results for a geometry-optimized Pa2In5Ga structure.

```
Pa2In5Ga
1.0
6.5434 0.0000 0.0000
0.0000 13.0737 0.0000
0.0000 0.0000 4.5256
Pa In Ga
4 10 2
Cartesian
1.4950 1.5455 0.0000
1.7767 8.0824 0.0000
4.7667 4.9913 0.0000
5.0484 11.5282 0.0000
0.0000 6.5368 2.2628
0.1318 9.8286 2.2628
1.5368 4.8692 0.0000
1.7349 11.4061 0.0000
3.1399 3.2917 2.2628
3.2717 0.0000 2.2628
3.4035 9.7820 2.2628
4.8086 1.6676 0.0000
5.0066 8.2045 0.0000
6.4116 3.2451 2.2628
0.0000 0.0000 2.2628
3.2717 6.5368 2.2628
```

Values from the calculation:
Density of states at the Fermi level = 1.40 states/eV/atom
Calculated total energy = -4.619 eV per atom
Symmetry = No. 55
Calculated formation energy = -155 meV/atom

---

5.
DFT (PBE) results for a geometry-optimized Pa2InGa4 structure.

```
Pa2InGa4
1.0
4.2957 0.0000 0.0000
0.0000 4.2957 0.0000
0.0000 0.0000 8.9007
Pa In Ga
2 1 4
Cartesian
0.0000 2.1478 2.0879
2.1478 0.0000 6.8128
0.0000 0.0000 4.4504
0.0000 0.0000 0.0000
0.0000 2.1478 6.5671
2.1478 0.0000 2.3336
2.1478 2.1478 0.0000
```

Values from the calculation:
Density of states at the Fermi level = 1.44 states/eV/atom
Calculated total energy = -4.796 eV per atom
Symmetry = No. 115
Calculated formation energy = 37 meV/atom

---

6.
DFT (PBE) results for a geometry-optimized Pa4InGa12 structure.

```
Pa4InGa12
1.0
-4.3803 4.3803 4.3803
4.3803 -4.3803 4.3803
4.3803 4.3803 -4.3803
Pa In Ga
4 1 12
Cartesian
2.1901 2.1901 -2.1901
2.1901 -2.1901 2.1901
-2.1901 2.1901 2.1901
2.1901 2.1901 2.1901
0.0000 0.0000 0.0000
2.7280 0.0000 0.0000
6.0326 0.0000 0.0000
4.3803 2.1901 0.0000
4.3803 0.0000 2.1901
0.0000 2.7280 0.0000
0.0000 0.0000 2.7280
2.1901 4.3803 0.0000
2.1901 0.0000 4.3803
0.0000 6.0326 0.0000
0.0000 0.0000 6.0326
0.0000 4.3803 2.1901
0.0000 2.1901 4.3803
```

Values from the calculation:
Density of states at the Fermi level = 1.22 states/eV/atom
Calculated total energy = -4.829 eV per atom
Symmetry = No. 229
Calculated formation energy = -297 meV/atom

---

7.
DFT (PBE) results for a geometry-optimized PaInGa2 structure.

```
PaInGa2
1.0
0.0000 3.4975 3.4975
3.4975 0.0000 3.4975
3.4975 3.4975 0.0000
Pa In Ga
1 1 2
Cartesian
0.0000 0.0000 0.0000
3.4975 3.4975 3.4975
1.7487 1.7487 1.7487
5.2462 5.2462 5.2462
```

Values from the calculation:
Distance to the lowest polymorph of the same formula = 222 meV per atom
Density of states at the Fermi level = 1.35 states/eV/atom
Calculated total energy = -4.620 eV per atom
Symmetry = No. 225
Calculated formation energy = -48 meV/atom

---

8.
DFT (PBE) results for a geometry-optimized PaInGa2 structure.

```
PaInGa2
1.0
3.5649 0.0000 0.0000
0.0000 3.5649 0.0000
0.0000 0.0000 6.8422
Pa In Ga
1 1 2
Cartesian
0.0000 0.0000 0.0000
0.0000 0.0000 3.4211
1.7824 1.7824 1.8393
1.7824 1.7824 5.0029
```

Values from the calculation:
Distance to the lowest polymorph of the same formula = 208 meV per atom
Density of states at the Fermi level = 1.24 states/eV/atom
Calculated total energy = -4.634 eV per atom
Symmetry = No. 123
Calculated formation energy = -62 meV/atom